Record 1
Material: Rb2HoThSe4
Method: DFT, PBE
State: optimized geometry

```
data_Rb2HoThSe4
_space_group_name_H-M_alt 'P 1'
_space_group_IT_number 1
_cell_length_a 7.3719
_cell_length_b 4.2450
_cell_length_c 8.4328
_cell_angle_alpha 90.00
_cell_angle_beta 106.76
_cell_angle_gamma 90.00
loop_
_space_group_symop_operation_xyz
'x,y,z'
loop_
_atom_site_label
_atom_site_fract_x
_atom_site_fract_y
_atom_site_fract_z
_atom_site_occupancy
Rb1 0.0000 0.0000 0.0000 1
Rb2 0.5000 0.5000 0.0000 1
Ho1 0.0000 0.5000 0.5000 1
Th1 0.5000 0.0000 0.5000 1
Se1 0.2282 0.0000 0.6979 1
Se2 0.2590 0.5000 0.2963 1
Se3 0.7410 0.5000 0.7037 1
Se4 0.7718 0.0000 0.3021 1
```

Values from the calculation:
Total magnetic moment, μB/atom: 0.00
Formation energy from raw total energies, eV per atom: -1.6167
Crystal system: monoclinic



Record 2
Material: SiBiW3
Method: DFT, PBE
State: optimized geometry

```
data_SiBiW3
_space_group_name_H-M_alt 'P 1'
_space_group_IT_number 1
_cell_length_a 4.6091
_cell_length_b 4.6091
_cell_length_c 4.6091
_cell_angle_alpha 90.00
_cell_angle_beta 90.00
_cell_angle_gamma 90.00
loop_
_space_group_symop_operation_xyz
'x,y,z'
loop_
_atom_site_label
_atom_site_fract_x
_atom_site_fract_y
_atom_site_fract_z
_atom_site_occupancy
Si1 0.0000 0.0000 0.0000 1
Bi1 0.5000 0.5000 0.5000 1
W1 0.0000 0.0000 0.5000 1
W2 0.0000 0.5000 0.0000 1
W3 0.5000 0.0000 0.0000 1
```

Values from the calculation:
ΔE to the lowest computed polymorph, meV per atom: 0.0
Total magnetic moment, μB/atom: 0.00
Formation energy from raw total energies, eV per atom: 1.3792
Crystal system: cubic